*i*
# Y2Mn2Re, relaxed, DFT PBE
# SG ... No. 127
# DOS(E_F) ... 5.15 states/eV/f.u.
# Mass density ... 8.5 g/cm³
# Size of the total moment ... 1.5 μB per cell
data_Y2Mn2Re
_chemical_formula_sum 'Y4 Mn4 Re2'
_symmetry_space_group_name_H-M 'P 1'
_symmetry_Int_Tables_number 1
_cell_length_a 6.2772
_cell_length_b 6.2772
_cell_length_c 4.7045
_cell_angle_alpha 90.00
_cell_angle_beta 90.00
_cell_angle_gamma 90.00
loop_
_symmetry_equiv_pos_as_xyz
'x,y,z'
loop_
_atom_site_label
_atom_site_type_symbol
_atom_site_fract_x
_atom_site_fract_y
_atom_site_fract_z
_atom_site_occupancy
Y1 Y 0.1823 0.3177 0.0000 1
Y2 Y 0.3177 0.8177 0.0000 1
Y3 Y 0.6823 0.1823 0.0000 1
Y4 Y 0.8177 0.6823 0.0000 1
Mn1 Mn 0.1224 0.6224 0.5000 1
Mn2 Mn 0.3776 0.1224 0.5000 1
Mn3 Mn 0.6224 0.8776 0.5000 1
Mn4 Mn 0.8776 0.3776 0.5000 1
Re1 Re 0.0000 0.0000 0.5000 1
Re2 Re 0.5000 0.5000 0.5000 1



*ii*
# Y2Mn2Re, relaxed, DFT PBE
# SG ... No. 139
# DOS(E_F) ... 8.03 states/eV/f.u.
# Mass density ... 8.3 g/cm³
# Size of the total moment ... 0.0 μB per cell
data_Y2Mn2Re
_chemical_formula_sum 'Y2 Mn2 Re1'
_symmetry_space_group_name_H-M 'P 1'
_symmetry_Int_Tables_number 1
_cell_length_a 9.3179
_cell_length_b 9.3179
_cell_length_c 9.3179
_cell_angle_alpha 159.98
_cell_angle_beta 159.98
_cell_angle_gamma 28.46
loop_
_symmetry_equiv_pos_as_xyz
'x,y,z'
loop_
_atom_site_label
_atom_site_type_symbol
_atom_site_fract_x
_atom_site_fract_y
_atom_site_fract_z
_atom_site_occupancy
Y1 Y 0.1031 0.1031 0.0000 1
Y2 Y 0.8969 0.8969 0.0000 1
Mn1 Mn 0.2500 0.7500 0.5000 1
Mn2 Mn 0.7500 0.2500 0.5000 1
Re1 Re 0.5000 0.5000 0.0000 1



*iii*
# Y2Mn2Re, relaxed, DFT PBE
# SG ... No. 127
# DOS(E_F) ... 10.91 states/eV/f.u.
# Mass density ... 8.7 g/cm³
# Size of the total moment ... 0.0 μB per cell
data_Y2Mn2Re
_chemical_formula_sum 'Y4 Mn4 Re2'
_symmetry_space_group_name_H-M 'P 1'
_symmetry_Int_Tables_number 1
_cell_length_a 7.7306
_cell_length_b 7.7306
_cell_length_c 3.0268
_cell_angle_alpha 90.00
_cell_angle_beta 90.00
_cell_angle_gamma 90.00
loop_
_symmetry_equiv_pos_as_xyz
'x,y,z'
loop_
_atom_site_label
_atom_site_type_symbol
_atom_site_fract_x
_atom_site_fract_y
_atom_site_fract_z
_atom_site_occupancy
Y1 Y 0.1425 0.3575 0.0000 1
Y2 Y 0.3575 0.8575 0.0000 1
Y3 Y 0.6425 0.1425 0.0000 1
Y4 Y 0.8575 0.6425 0.0000 1
Mn1 Mn 0.1696 0.6696 0.5000 1
Mn2 Mn 0.3304 0.1696 0.5000 1
Mn3 Mn 0.6696 0.8304 0.5000 1
Mn4 Mn 0.8304 0.3304 0.5000 1
Re1 Re 0.0000 0.0000 0.0000 1
Re2 Re 0.5000 0.5000 0.0000 1



Stability, highest: *i*



*i*
# Mn3ZnRe, relaxed, DFT PBE
# SG ... No. 221
# DOS(E_F) ... 6.31 states/eV/f.u.
# Mass density ... 9.6 g/cm³
# Size of the total moment ... 0.0 μB per cell
data_Mn3ZnRe
_chemical_formula_sum 'Mn3 Zn1 Re1'
_symmetry_space_group_name_H-M 'P 1'
_symmetry_Int_Tables_number 1
_cell_length_a 4.1632
_cell_length_b 4.1632
_cell_length_c 4.1632
_cell_angle_alpha 90.00
_cell_angle_beta 90.00
_cell_angle_gamma 90.00
loop_
_symmetry_equiv_pos_as_xyz
'x,y,z'
loop_
_atom_site_label
_atom_site_type_symbol
_atom_site_fract_x
_atom_site_fract_y
_atom_site_fract_z
_atom_site_occupancy
Mn1 Mn 0.0000 0.0000 0.5000 1
Mn2 Mn 0.0000 0.5000 0.0000 1
Mn3 Mn 0.5000 0.0000 0.0000 1
Zn1 Zn 0.0000 0.0000 0.0000 1
Re1 Re 0.5000 0.5000 0.5000 1



*ii*
# Mn3ZnRe, relaxed, DFT PBE
# SG ... No. 221
# DOS(E_F) ... 8.95 states/eV/f.u.
# Mass density ... 6.9 g/cm³
# Size of the total moment ... 8.7 μB per cell
data_Mn3ZnRe
_chemical_formula_sum 'Mn3 Zn1 Re1'
_symmetry_space_group_name_H-M 'P 1'
_symmetry_Int_Tables_number 1
_cell_length_a 4.6362
_cell_length_b 4.6362
_cell_length_c 4.6362
_cell_angle_alpha 90.00
_cell_angle_beta 90.00
_cell_angle_gamma 90.00
loop_
_symmetry_equiv_pos_as_xyz
'x,y,z'
loop_
_atom_site_label
_atom_site_type_symbol
_atom_site_fract_x
_atom_site_fract_y
_atom_site_fract_z
_atom_site_occupancy
Mn1 Mn 0.0000 0.0000 0.5000 1
Mn2 Mn 0.0000 0.5000 0.0000 1
Mn3 Mn 0.5000 0.0000 0.0000 1
Zn1 Zn 0.5000 0.5000 0.5000 1
Re1 Re 0.0000 0.0000 0.0000 1



Stability, highest: *ii*